VASP calculation (GGA-PBE) on a geometry-optimized Cs4Pu3ThS8 structure.

It has space group R-3m (No. 166, hexagonal axes), with a = 8.4069 Å, b = 8.4069 Å, c = 24.1756 Å, α = 90.00°, β = 90.00° and γ = 120.00°. Symmetry generates all atoms from Cs at (0.0000, 0.0000, 0.0000), Cs at (0.0000, 0.5000, 0.0000), Pu at (0.0000, 0.5000, 0.5000), Th at (0.0000, 0.0000, 0.5000), S at (0.0000, 0.0000, 0.2256) and S at (0.0033, 0.5016, 0.2278).

The uncorrected formation energy is -25.70 eV per formula unit. As for the theoretical density: 5.90 g cm⁻³. Its density of states at the Fermi level is 32.7 states/eV/f.u. Its total magnetization is 16.000 μB per formula unit.